<a>
{
  "formula": "YZnCuRe",
  "functional": "PBE",
  "state": "relaxed",
  "total_magnetization_mub_per_cell": 0.94,
  "lattice_angstrom": [[0.000, 3.272, 3.272], [3.272, 0.000, 3.272], [3.272, 3.272, 0.000]],
  "species": ["Zn", "Cu", "Y", "Re"],
  "frac_coords": [[0.000, 0.000, 0.000], [0.750, 0.750, 0.750], [0.250, 0.250, 0.250], [0.500, 0.500, 0.500]]
}

=====

<b>
{
  "formula": "YZnCuRe",
  "functional": "PBE",
  "state": "relaxed",
  "total_magnetization_mub_per_cell": 0.53,
  "lattice_angstrom": [[0.000, 3.258, 3.258], [3.258, 0.000, 3.258], [3.258, 3.258, 0.000]],
  "species": ["Re", "Y", "Zn", "Cu"],
  "frac_coords": [[0.250, 0.250, 0.250], [0.500, 0.500, 0.500], [0.000, 0.000, 0.000], [0.750, 0.750, 0.750]]
}

=====

It is <a> that is the least stable of them.

=====

<a>
{
  "formula": "ZrCu2TeSeS",
  "functional": "PBE",
  "state": "relaxed",
  "total_magnetization_mub_per_cell": 0.01,
  "lattice_angstrom": [[-1.064, 9.174, -4.279], [-0.561, 6.902, -7.459], [-6.901, -2.207, 0.485]],
  "species": ["Cu", "Cu", "Cu", "Cu", "Te", "Te", "S", "S", "Se", "Se", "Zr", "Zr"],
  "frac_coords": [[0.791, 0.791, 0.076], [0.549, 0.549, 0.662], [0.209, 0.209, 0.924], [0.451, 0.451, 0.338], [0.249, 0.249, 0.284], [0.751, 0.751, 0.716], [0.909, 0.909, 0.179], [0.091, 0.091, 0.821], [0.574, 0.574, 0.329], [0.426, 0.426, 0.671], [0.861, 0.861, 0.462], [0.139, 0.139, 0.538]]
}

=====

<b>
{
  "formula": "ZrCu2TeSeS",
  "functional": "PBE",
  "state": "relaxed",
  "total_magnetization_mub_per_cell": 0.01,
  "lattice_angstrom": [[-1.941, -9.572, 1.014], [1.930, -9.610, 0.578], [0.767, 1.237, 6.695]],
  "species": ["Se", "Se", "Cu", "Cu", "Cu", "Cu", "Te", "Te", "Zr", "Zr", "S", "S"],
  "frac_coords": [[0.412, 0.412, 0.165], [0.588, 0.588, 0.835], [0.787, 0.787, 0.555], [0.546, 0.546, 0.153], [0.454, 0.454, 0.847], [0.213, 0.213, 0.445], [0.920, 0.920, 0.617], [0.080, 0.080, 0.383], [0.156, 0.156, 0.046], [0.844, 0.844, 0.954], [0.255, 0.255, 0.778], [0.745, 0.745, 0.222]]
}

=====

<c>
{
  "formula": "ZrCu2TeSeS",
  "functional": "PBE",
  "state": "relaxed",
  "total_magnetization_mub_per_cell": 0.01,
  "lattice_angstrom": [[-4.558, 7.334, -4.973], [-2.037, 5.974, -7.711], [-4.528, -5.312, -1.531]],
  "species": ["Cu", "Cu", "Cu", "Cu", "Se", "Se", "Zr", "Zr", "S", "S", "Te", "Te"],
  "frac_coords": [[0.457, 0.457, 0.336], [0.210, 0.210, 0.925], [0.790, 0.790, 0.075], [0.543, 0.543, 0.664], [0.918, 0.918, 0.148], [0.082, 0.082, 0.852], [0.863, 0.863, 0.457], [0.137, 0.137, 0.543], [0.579, 0.579, 0.360], [0.421, 0.421, 0.640], [0.749, 0.749, 0.714], [0.251, 0.251, 0.286]]
}

=====

It is <b> that is the least stable of them.

=====

<a>
{
  "formula": "ZrCu2TeSeS",
  "functional": "PBE",
  "state": "relaxed",
  "total_magnetization_mub_per_cell": 0.01,
  "lattice_angstrom": [[-1.348, 1.003, -9.958], [0.697, -2.291, -9.810], [-5.804, -3.534, 1.570]],
  "species": ["S", "S", "Cu", "Cu", "Cu", "Cu", "Zr", "Zr", "Te", "Te", "Se", "Se"],
  "frac_coords": [[0.093, 0.093, 0.824], [0.907, 0.907, 0.176], [0.552, 0.552, 0.653], [0.448, 0.448, 0.347], [0.208, 0.208, 0.942], [0.792, 0.792, 0.058], [0.151, 0.151, 0.542], [0.849, 0.849, 0.458], [0.576, 0.576, 0.288], [0.424, 0.424, 0.712], [0.747, 0.747, 0.717], [0.253, 0.253, 0.283]]
}

=====

<b>
{
  "formula": "ZrCu2TeSeS",
  "functional": "PBE",
  "state": "relaxed",
  "total_magnetization_mub_per_cell": 0.01,
  "lattice_angstrom": [[1.633, 9.039, -3.693], [-1.741, 8.116, -5.394], [-3.405, 2.024, 5.654]],
  "species": ["Se", "Se", "Cu", "Cu", "Cu", "Cu", "Zr", "Zr", "Te", "Te", "S", "S"],
  "frac_coords": [[0.087, 0.087, 0.849], [0.913, 0.913, 0.151], [0.207, 0.207, 0.968], [0.793, 0.793, 0.032], [0.450, 0.450, 0.349], [0.550, 0.550, 0.651], [0.840, 0.840, 0.445], [0.160, 0.160, 0.555], [0.416, 0.416, 0.700], [0.584, 0.584, 0.300], [0.744, 0.744, 0.718], [0.256, 0.256, 0.282]]
}

=====

<c>
{
  "formula": "ZrCu2TeSeS",
  "functional": "PBE",
  "state": "relaxed",
  "total_magnetization_mub_per_cell": 0.01,
  "lattice_angstrom": [[1.628, 9.738, -0.140], [-2.168, 9.598, 0.827], [1.720, -0.984, 6.613]],
  "species": ["S", "S", "Cu", "Cu", "Cu", "Cu", "Te", "Te", "Se", "Se", "Zr", "Zr"],
  "frac_coords": [[0.416, 0.416, 0.638], [0.584, 0.584, 0.362], [0.542, 0.542, 0.662], [0.458, 0.458, 0.338], [0.786, 0.786, 0.072], [0.214, 0.214, 0.928], [0.920, 0.920, 0.112], [0.080, 0.080, 0.888], [0.747, 0.747, 0.716], [0.253, 0.253, 0.284], [0.145, 0.145, 0.542], [0.855, 0.855, 0.458]]
}

=====

It is <b> that is the least stable of them.

=====

<a>
{
  "formula": "Cu3SiS4",
  "functional": "PBE",
  "state": "relaxed",
  "lattice_angstrom": [[0.403, -4.780, 4.207], [-4.724, -4.160, -1.046], [4.320, 2.603, -3.909]],
  "species": ["Cu", "Cu", "Cu", "S", "S", "S", "S", "Si"],
  "frac_coords": [[0.750, 0.250, 0.500], [0.500, 0.500, 0.000], [0.250, 0.750, 0.500], [0.359, 0.882, 0.000], [0.882, 0.359, 0.000], [0.641, 0.641, 0.523], [0.118, 0.118, 0.477], [0.000, 0.000, 0.000]]
}

=====

<b>
{
  "formula": "Cu3SiS4",
  "functional": "PBE",
  "state": "relaxed",
  "lattice_angstrom": [[5.553, 0.000, 0.000], [0.000, 5.553, 0.000], [0.000, 0.000, 5.553]],
  "species": ["S", "S", "S", "S", "Cu", "Cu", "Cu", "Si"],
  "frac_coords": [[0.775, 0.775, 0.225], [0.775, 0.225, 0.775], [0.225, 0.775, 0.775], [0.225, 0.225, 0.225], [0.000, 0.000, 0.500], [0.000, 0.500, 0.000], [0.500, 0.000, 0.000], [0.000, 0.000, 0.000]]
}

=====

It is <b> that is the least stable of them.

=====

<a>
{
  "formula": "Cu3SiS4",
  "functional": "PBE",
  "state": "relaxed",
  "lattice_angstrom": [[-2.608, 2.608, 5.206], [2.608, -2.608, 5.206], [2.608, 2.608, -5.206]],
  "species": ["S", "S", "S", "S", "Cu", "Cu", "Cu", "Si"],
  "frac_coords": [[0.641, 0.641, 0.523], [0.359, 0.882, 0.000], [0.118, 0.118, 0.477], [0.882, 0.359, 0.000], [0.250, 0.750, 0.500], [0.500, 0.500, 0.000], [0.750, 0.250, 0.500], [0.000, 0.000, 0.000]]
}

=====

<b>
{
  "formula": "Cu3SiS4",
  "functional": "PBE",
  "state": "relaxed",
  "lattice_angstrom": [[-2.695, 4.567, 5.002], [1.856, -3.940, 4.598], [5.398, 2.874, 0.284]],
  "species": ["S", "S", "S", "S", "S", "S", "S", "S", "Cu", "Cu", "Cu", "Cu", "Cu", "Cu", "Si", "Si"],
  "frac_coords": [[0.500, 0.322, 0.524], [0.257, 0.170, 0.995], [0.243, 0.830, 0.495], [0.000, 0.353, 0.498], [0.757, 0.830, 0.495], [0.500, 0.647, 0.998], [0.000, 0.678, 0.024], [0.743, 0.170, 0.995], [0.252, 0.827, 0.869], [0.000, 0.349, 0.870], [0.248, 0.173, 0.369], [0.748, 0.827, 0.869], [0.500, 0.651, 0.370], [0.752, 0.173, 0.369], [0.500, 0.326, 0.877], [0.000, 0.674, 0.377]]
}

=====

It is <b> that is the least stable of them.

=====

<a>
{
  "formula": "Cu4SnS4",
  "functional": "PBE",
  "state": "relaxed",
  "lattice_angstrom": [[3.388, 3.575, 4.713], [-0.335, 6.669, -1.368], [-4.769, -4.849, 0.452]],
  "species": ["Cu", "Cu", "Cu", "Cu", "S", "S", "S", "S", "Sn"],
  "frac_coords": [[0.243, 0.243, 0.000], [0.000, 0.500, 0.500], [0.500, 0.000, 0.500], [0.757, 0.757, 0.000], [0.604, 0.604, 0.472], [0.396, 0.868, 0.000], [0.132, 0.132, 0.528], [0.868, 0.396, 0.000], [0.000, 0.000, 0.000]]
}

=====

<b>
{
  "formula": "Cu4SnS4",
  "functional": "PBE",
  "state": "relaxed",
  "lattice_angstrom": [[-5.627, 4.927, -6.743], [6.313, -6.497, -10.015], [-5.776, -8.199, 1.679]],
  "species": ["Cu", "Cu", "Cu", "Cu", "Cu", "Cu", "Cu", "Cu", "Cu", "Cu", "Cu", "Cu", "Cu", "Cu", "Cu", "Cu", "Cu", "Cu", "Cu", "Cu", "Cu", "Cu", "Cu", "Cu", "Cu", "Cu", "Cu", "Cu", "Cu", "Cu", "Cu", "Cu", "S", "S", "S", "S", "S", "S", "S", "S", "S", "S", "S", "S", "S", "S", "S", "S", "S", "S", "S", "S", "S", "S", "S", "S", "S", "S", "S", "S", "S", "S", "S", "S", "Sn", "Sn", "Sn", "Sn", "Sn", "Sn", "Sn", "Sn"],
  "frac_coords": [[0.929, 0.339, 0.931], [0.299, 0.842, 0.315], [0.183, 0.155, 0.182], [0.422, 0.184, 0.985], [0.616, 0.444, 0.463], [0.299, 0.658, 0.815], [0.167, 0.858, 0.920], [0.782, 0.589, 0.019], [0.665, 0.813, 0.282], [0.071, 0.661, 0.069], [0.817, 0.845, 0.818], [0.833, 0.142, 0.080], [0.929, 0.161, 0.431], [0.183, 0.345, 0.682], [0.335, 0.313, 0.218], [0.218, 0.089, 0.481], [0.701, 0.158, 0.685], [0.218, 0.411, 0.981], [0.616, 0.056, 0.963], [0.817, 0.655, 0.318], [0.782, 0.911, 0.519], [0.167, 0.642, 0.420], [0.335, 0.187, 0.718], [0.665, 0.687, 0.782], [0.701, 0.342, 0.185], [0.578, 0.684, 0.515], [0.384, 0.944, 0.037], [0.833, 0.358, 0.580], [0.384, 0.556, 0.537], [0.071, 0.839, 0.569], [0.422, 0.316, 0.485], [0.578, 0.816, 0.015], [0.253, 0.081, 0.006], [0.488, 0.585, 0.749], [0.624, 0.179, 0.128], [0.238, 0.922, 0.491], [0.135, 0.678, 0.627], [0.747, 0.919, 0.994], [0.362, 0.173, 0.370], [0.376, 0.679, 0.372], [0.889, 0.820, 0.382], [0.376, 0.821, 0.872], [0.111, 0.180, 0.618], [0.512, 0.085, 0.751], [0.488, 0.915, 0.249], [0.638, 0.673, 0.130], [0.004, 0.589, 0.251], [0.996, 0.089, 0.249], [0.865, 0.178, 0.873], [0.512, 0.415, 0.251], [0.889, 0.680, 0.882], [0.762, 0.078, 0.509], [0.004, 0.911, 0.751], [0.253, 0.419, 0.506], [0.762, 0.422, 0.009], [0.624, 0.321, 0.628], [0.747, 0.581, 0.494], [0.111, 0.320, 0.118], [0.135, 0.822, 0.127], [0.638, 0.827, 0.630], [0.238, 0.578, 0.991], [0.362, 0.327, 0.870], [0.865, 0.322, 0.373], [0.996, 0.411, 0.749], [0.566, 0.416, 0.823], [0.057, 0.414, 0.313], [0.057, 0.086, 0.813], [0.434, 0.584, 0.177], [0.943, 0.914, 0.187], [0.566, 0.084, 0.323], [0.943, 0.586, 0.687], [0.434, 0.916, 0.677]]
}

=====

<c>
{
  "formula": "Cu4SnS4",
  "functional": "PBE",
  "state": "relaxed",
  "lattice_angstrom": [[-6.898, 4.825, -10.629], [-2.430, -7.075, -1.635], [-5.172, 0.905, 3.767]],
  "species": ["Cu", "Cu", "Cu", "Cu", "Cu", "Cu", "Cu", "Cu", "Cu", "Cu", "Cu", "Cu", "Cu", "Cu", "Cu", "Cu", "S", "S", "S", "S", "S", "S", "S", "S", "S", "S", "S", "S", "S", "S", "S", "S", "Sn", "Sn", "Sn", "Sn"],
  "frac_coords": [[0.166, 0.012, 0.617], [0.165, 0.750, 0.066], [0.665, 0.750, 0.434], [0.335, 0.250, 0.566], [0.666, 0.488, 0.883], [0.334, 0.988, 0.117], [0.573, 0.750, 0.099], [0.927, 0.250, 0.599], [0.334, 0.512, 0.117], [0.166, 0.488, 0.617], [0.834, 0.512, 0.383], [0.427, 0.250, 0.901], [0.666, 0.012, 0.883], [0.834, 0.988, 0.383], [0.835, 0.250, 0.934], [0.073, 0.750, 0.401], [0.676, 0.998, 0.242], [0.409, 0.250, 0.252], [0.591, 0.750, 0.748], [0.824, 0.002, 0.742], [0.081, 0.250, 0.729], [0.581, 0.250, 0.771], [0.676, 0.502, 0.242], [0.419, 0.750, 0.229], [0.324, 0.002, 0.758], [0.824, 0.498, 0.742], [0.176, 0.998, 0.258], [0.919, 0.750, 0.271], [0.091, 0.750, 0.752], [0.909, 0.250, 0.248], [0.324, 0.498, 0.758], [0.176, 0.502, 0.258], [0.418, 0.750, 0.613], [0.082, 0.250, 0.113], [0.582, 0.250, 0.387], [0.918, 0.750, 0.887]]
}

=====

It is <a> that is the least stable of them.

=====

<a>
{
  "formula": "TlCu3SnS4",
  "functional": "PBE",
  "state": "relaxed",
  "lattice_angstrom": [[5.844, 0.000, 0.000], [0.000, 7.447, 0.000], [-2.532, 0.000, 9.242]],
  "species": ["Cu", "Cu", "Cu", "Cu", "Cu", "Cu", "S", "S", "S", "S", "S", "S", "S", "S", "Tl", "Tl", "Sn", "Sn"],
  "frac_coords": [[0.059, 0.250, 0.224], [0.186, 0.072, 0.472], [0.941, 0.750, 0.776], [0.186, 0.428, 0.472], [0.814, 0.572, 0.528], [0.814, 0.928, 0.528], [0.130, 0.010, 0.714], [0.514, 0.250, 0.525], [0.870, 0.510, 0.286], [0.708, 0.750, 0.928], [0.870, 0.990, 0.286], [0.292, 0.250, 0.072], [0.486, 0.750, 0.475], [0.130, 0.490, 0.714], [0.314, 0.750, 0.105], [0.686, 0.250, 0.895], [0.391, 0.750, 0.710], [0.609, 0.250, 0.290]]
}

=====

<b>
{
  "formula": "TlCu3SnS4",
  "functional": "PBE",
  "state": "relaxed",
  "lattice_angstrom": [[5.974, 0.000, 0.000], [0.000, 5.974, 0.000], [0.000, 0.000, 5.974]],
  "species": ["S", "S", "S", "S", "Cu", "Cu", "Cu", "Tl", "Sn"],
  "frac_coords": [[0.232, 0.232, 0.768], [0.768, 0.232, 0.232], [0.232, 0.768, 0.232], [0.768, 0.768, 0.768], [0.500, 0.000, 0.000], [0.000, 0.000, 0.500], [0.000, 0.500, 0.000], [0.500, 0.500, 0.500], [0.000, 0.000, 0.000]]
}

=====

It is <b> that is the least stable of them.